# 1
# Ac2VSb

Crystalline Ac2VSb at its relaxed geometry (PBE, Alexandria).

Geometry as CIF:
```
data_Ac2VSb
_chemical_formula_sum 'Ac6 V3 Sb3'
_symmetry_space_group_name_H-M 'R -3 m'
_symmetry_Int_Tables_number 166
_symmetry_space_group_name_Hall '-R 3 2"'
_cell_length_a 3.6656
_cell_length_b 3.6656
_cell_length_c 34.9440
_cell_angle_alpha 90.00
_cell_angle_beta 90.00
_cell_angle_gamma 120.00
loop_
_atom_site_label
_atom_site_type_symbol
_atom_site_fract_x
_atom_site_fract_y
_atom_site_fract_z
Ac1 Ac 0.0000 0.0000 0.0877
V1 V 0.0000 0.0000 0.0000
Sb1 Sb 0.0000 0.0000 0.5000
```

Formation energy without anion corrections (eV/f.u.): 2.2
Fermi-level density of states (states/eV per atom): 1.28


# 2
# PuPd3Au

Crystalline PuPd3Au at its relaxed geometry (PBE, Alexandria).

Geometry as CIF:
```
data_PuPd3Au
_chemical_formula_sum 'Pu2 Pd6 Au2'
_symmetry_space_group_name_H-M 'P -1'
_symmetry_Int_Tables_number 2
_symmetry_space_group_name_Hall '-P 1'
_cell_length_a 5.214
_cell_length_b 5.268
_cell_length_c 7.626
_cell_angle_alpha 69.89
_cell_angle_beta 89.98
_cell_angle_gamma 89.94
loop_
_atom_site_label
_atom_site_type_symbol
_atom_site_fract_x
_atom_site_fract_y
_atom_site_fract_z
Pu1 Pu 0.250 0.185 0.130
Pd1 Pd 0.000 0.000 0.500
Pd2 Pd 0.250 0.116 0.780
Pd3 Pd 0.250 0.605 0.780
Pd4 Pd 0.500 0.000 0.500
Au1 Au 0.250 0.553 0.395
```

Fermi-level density of states (states/eV per atom): 2.83
ΔE_f (eV per atom): -0.208


# 3
# CdPb2Se

Crystalline CdPb2Se at its relaxed geometry (PBE, Alexandria).

Geometry as CIF:
```
data_CdPb2Se
_chemical_formula_sum 'Cd1 Pb2 Se1'
_symmetry_space_group_name_H-M 'P 4 m m'
_symmetry_Int_Tables_number 99
_symmetry_space_group_name_Hall 'P 4 -2'
_cell_length_a 3.769
_cell_length_b 3.769
_cell_length_c 7.679
_cell_angle_alpha 90.00
_cell_angle_beta 90.00
_cell_angle_gamma 90.00
loop_
_atom_site_label
_atom_site_type_symbol
_atom_site_fract_x
_atom_site_fract_y
_atom_site_fract_z
Cd1 Cd 0.000 0.000 0.000
Pb1 Pb 0.000 0.000 0.566
Pb2 Pb 0.500 0.500 0.250
Se1 Se 0.500 0.500 0.794
```

Formation energy without anion corrections (eV/f.u.): -0.3
Fermi-level density of states (states/eV per atom): 0.40